[1]
KTi2PdW, relaxed, DFT PBE; crystal system = tetragonal; space-group type = P4/mmm, No. 123; energy relative to the elements = 6.54 eV per formula unit; total energy = -28.50 eV per formula unit
1.0
4.949 0.000 0.000
0.000 4.949 0.000
0.000 0.000 4.909
K Ti Pd W
1 2 1 1
Cartesian
0.000 0.000 0.000 K
0.000 2.475 2.454 Ti
2.475 0.000 2.454 Ti
2.475 2.475 2.454 Pd
2.475 2.475 0.000 W


[2]
KTl4Pd2, relaxed, DFT PBE; crystal system = orthorhombic; offset from the most stable computed form = 5.90 kJ/mol of atoms; space-group type = Cmmm, No. 65; energy relative to the elements = -0.53 eV per formula unit; total energy = -21.48 eV per formula unit
1.0
2.525 -7.744 0.000
2.525 7.744 0.000
0.000 0.000 4.933
K Tl Pd
1 4 2
Cartesian
0.000 0.000 0.000 K
2.525 5.140 2.466 Tl
2.525 2.685 0.000 Tl
2.525 -2.685 0.000 Tl
2.525 -5.140 2.466 Tl
2.525 1.346 2.466 Pd
2.525 -1.346 2.466 Pd


[3]
K2Tl3Pd, relaxed, DFT PBE; crystal system = monoclinic; offset from the most stable computed form = 0.00 kJ/mol of atoms; space-group type = C2/m, No. 12; energy relative to the elements = -0.44 eV per formula unit; total energy = -14.92 eV per formula unit
1.0
5.236 -3.245 0.000
5.236 3.245 0.000
-3.120 0.000 5.291
K Tl Pd
2 3 1
Cartesian
0.134 0.000 1.985 K
7.218 0.000 3.306 K
2.618 1.623 0.000 Tl
2.618 -1.623 0.000 Tl
3.676 0.000 2.646 Tl
5.236 0.000 0.000 Pd


[4]
KTl2Pd, relaxed, DFT PBE; crystal system = tetragonal; space-group type = P4/mmm, No. 123; energy relative to the elements = -0.54 eV per formula unit; total energy = -11.57 eV per formula unit
1.0
3.553 0.000 0.000
0.000 3.553 0.000
0.000 0.000 8.465
K Tl Pd
1 2 1
Cartesian
0.000 0.000 0.000 K
1.776 1.776 2.623 Tl
1.776 1.776 5.842 Tl
0.000 0.000 4.233 Pd


[5]
KTl2Pd4, relaxed, DFT PBE; crystal system = tetragonal; space-group type = P4_2/mnm, No. 136; energy relative to the elements = -1.27 eV per formula unit; total energy = -27.87 eV per formula unit
1.0
8.286 0.000 0.000
0.000 8.286 0.000
0.000 0.000 4.393
K Tl Pd
2 4 8
Cartesian
0.000 0.000 0.000 K
4.143 4.143 2.197 K
1.858 1.858 2.197 Tl
2.285 6.001 0.000 Tl
6.001 2.285 0.000 Tl
6.428 6.428 2.197 Tl
0.792 5.255 2.197 Pd
1.112 3.351 0.000 Pd
3.031 7.493 2.197 Pd
3.351 1.112 0.000 Pd
4.935 7.174 0.000 Pd
5.255 0.792 2.197 Pd
7.174 4.935 0.000 Pd
7.493 3.031 2.197 Pd


[6]
K2TlPd, relaxed, DFT PBE; crystal system = tetragonal; offset from the most stable computed form = 9.13 kJ/mol of atoms; space-group type = I-42d, No. 122; energy relative to the elements = -0.09 eV per formula unit; total energy = -9.85 eV per formula unit
1.0
-5.821 5.821 2.660
5.821 -5.821 2.660
5.821 5.821 -2.660
K Tl Pd
4 2 2
Cartesian
1.139 2.911 0.665 K
-2.911 4.682 1.995 K
-1.139 8.732 0.665 K
2.911 6.960 1.995 K
5.821 0.000 1.330 Tl
0.000 0.000 2.660 Tl
0.000 0.000 0.000 Pd
0.000 5.821 1.330 Pd


[7]
KTl10Pd3, relaxed, DFT PBE; crystal system = cubic; space-group type = Fm-3m, No. 225; energy relative to the elements = -0.98 eV per formula unit; total energy = -41.32 eV per formula unit
1.0
0.000 7.356 7.356
7.356 0.000 7.356
7.356 7.356 0.000
K Tl Pd
2 20 6
Cartesian
3.678 3.678 3.678 K
11.034 11.034 11.034 K
2.494 2.494 0.000 Tl
4.862 4.862 0.000 Tl
2.494 0.000 2.494 Tl
7.356 4.862 2.494 Tl
4.862 0.000 4.862 Tl
7.356 2.494 4.862 Tl
9.018 5.694 5.694 Tl
0.000 2.494 2.494 Tl
4.862 7.356 2.494 Tl
4.862 2.494 7.356 Tl
5.694 5.694 5.694 Tl
9.018 9.018 5.694 Tl
9.018 5.694 9.018 Tl
5.694 9.018 5.694 Tl
5.694 5.694 9.018 Tl
9.018 9.018 9.018 Tl
0.000 4.862 4.862 Tl
2.494 7.356 4.862 Tl
2.494 4.862 7.356 Tl
5.694 9.018 9.018 Tl
7.356 7.356 3.916 Pd
7.356 3.916 7.356 Pd
10.796 7.356 7.356 Pd
3.916 7.356 7.356 Pd
7.356 10.796 7.356 Pd
7.356 7.356 10.796 Pd


[8]
KTlPd, relaxed, DFT PBE; crystal system = cubic; space-group type = F-43m, No. 216; energy relative to the elements = 0.07 eV per formula unit; total energy = -8.59 eV per formula unit
1.0
0.000 3.550 3.550
3.550 0.000 3.550
3.550 3.550 0.000
K Tl Pd
1 1 1
Cartesian
0.000 0.000 0.000 K
3.550 3.550 3.550 Tl
1.775 1.775 1.775 Pd


Question: Which of these has the lowest energy relative to the elements?
Answer: KTl2Pd4


Question: Number 4 is which compound?
Answer: KTl2Pd